No. 1
K3Hg3Pb8 | PBE-GGA | relaxed

Unit cell a=9.8259 b=9.8259 c=9.8259 alpha=149.13 beta=103.21 gamma=85.01
Closest atoms and distances in Å follow each position.
Sites, in units of the cell vectors:
K 0.0000 0.0000 0.0000  8 Pb 3.61
K 0.2883 0.2883 0.0000  2 Hg 3.52, 8 Pb 3.76-3.93
K 0.7117 0.7117 0.0000  2 Hg 3.52, 8 Pb 3.76-3.93
Hg 0.3582 0.5000 0.8582  3 Hg 3.14-3.46, 2 Pb 3.21
Hg 0.5000 0.0000 0.5000  4 Hg 3.14, 4 Pb 3.43
Hg 0.6418 0.5000 0.1418  3 Hg 3.14-3.46, 2 Pb 3.21
Pb 0.0159 0.3758 0.6401  1 Hg 3.21, 4 Pb 3.22-3.42
Pb 0.1321 0.8435 0.2886  3 Pb 3.22-3.29, 3 Hg 3.43-3.56
Pb 0.2644 0.6242 0.6401  1 Hg 3.21, 4 Pb 3.22-3.42
Pb 0.4450 0.1565 0.2886  3 Pb 3.22-3.29, 3 Hg 3.43-3.56
Pb 0.5550 0.8435 0.7114  3 Pb 3.22-3.29, 3 Hg 3.43-3.56
Pb 0.7356 0.3758 0.3599  1 Hg 3.21, 4 Pb 3.22-3.42
Pb 0.8679 0.1565 0.7114  3 Pb 3.22-3.29, 3 Hg 3.43-3.56
Pb 0.9841 0.6242 0.3599  1 Hg 3.21, 4 Pb 3.22-3.42

**DFT total energy**: -2.536 eV per atom
**Symmetry**: Immm
**Calculated density**: 8.54 g cm⁻³
**Total magnetic moment**: 0.00 μB/f.u.
**Volume**: 33.026 Å³/atom



No. 2
KHgPb | PBE-GGA | relaxed

Unit cell a=4.7829 b=6.5772 c=7.7999 alpha=71.81 beta=72.22 gamma=68.77
Closest atoms and distances in Å follow each position.
Sites, in units of the cell vectors:
K 0.0712 0.1623 0.1945  5 Hg 3.53-3.64, 2 Pb 3.84-3.86
K 0.9288 0.8377 0.8055  5 Hg 3.53-3.64, 2 Pb 3.84-3.86
Hg 0.3690 0.5962 0.1655  1 Hg 2.96, 3 Pb 3.15-3.19
Hg 0.6310 0.4038 0.8345  1 Hg 2.96, 3 Pb 3.15-3.19
Pb 0.3050 0.3119 0.5764  3 Hg 3.15-3.19, 2 Pb 3.33-3.34
Pb 0.6950 0.6881 0.4236  3 Hg 3.15-3.19, 2 Pb 3.33-3.34

**DFT total energy**: -1.887 eV per atom
**Symmetry**: P-1
**Calculated density**: 7.00 g cm⁻³
**Total magnetic moment**: 0.00 μB/f.u.
**Volume**: 35.351 Å³/atom



No. 3
KHg2Pb8 | PBE-GGA | relaxed

Unit cell a=6.6869 b=6.6869 c=9.6900 alpha=90.00 beta=90.00 gamma=90.00
Closest atoms and distances in Å follow each position.
Sites, in units of the cell vectors:
K 0.0000 0.0000 0.0000  8 Pb 3.72
Hg 0.0000 0.5000 0.5000  8 Pb 3.10
Hg 0.5000 0.0000 0.5000  8 Pb 3.10
Pb 0.2530 0.2530 0.2937  2 Hg 3.10, 4 Pb 3.30-3.38
Pb 0.2530 0.2530 0.7063  2 Hg 3.10, 4 Pb 3.30-3.38
Pb 0.2530 0.7470 0.2937  2 Hg 3.10, 4 Pb 3.30-3.38
Pb 0.2530 0.7470 0.7063  2 Hg 3.10, 4 Pb 3.30-3.38
Pb 0.7470 0.2530 0.2937  2 Hg 3.10, 4 Pb 3.30-3.38
Pb 0.7470 0.2530 0.7063  2 Hg 3.10, 4 Pb 3.30-3.38
Pb 0.7470 0.7470 0.2937  2 Hg 3.10, 4 Pb 3.30-3.38
Pb 0.7470 0.7470 0.7063  2 Hg 3.10, 4 Pb 3.30-3.38

**DFT total energy**: -2.687 eV per atom
**Symmetry**: P4/mmm
**Calculated density**: 8.04 g cm⁻³
**Total magnetic moment**: 0.00 μB/f.u.
**Volume**: 39.390 Å³/atom



No. 4
KHg2Pb | PBE-GGA | relaxed

Unit cell a=3.4521 b=5.0591 c=7.1428 alpha=90.00 beta=90.00 gamma=90.00
Closest atoms and distances in Å follow each position.
Sites, in units of the cell vectors:
K 0.0000 0.0000 0.0000  2 K 3.45, 6 Hg 3.51-3.59, 4 Pb 3.81
Hg 0.0000 0.0000 0.5022  4 Pb 3.34, 6 Hg 3.45-3.58, 2 K 3.56-3.59
Hg 0.5000 0.5000 0.7609  1 Pb 3.17, 2 Hg 3.45, 4 K 3.51
Pb 0.5000 0.5000 0.3167  5 Hg 3.17-3.34, 2 Pb 3.45

**DFT total energy**: -1.431 eV per atom
**Symmetry**: Pmm2
**Calculated density**: 8.62 g cm⁻³
**Total magnetic moment**: 0.00 μB/f.u.
**Volume**: 31.186 Å³/atom



No. 5
KHg4Pb | PBE-GGA | relaxed

Unit cell a=6.2355 b=6.2355 c=6.2355 alpha=60.00 beta=60.00 gamma=60.00
Closest atoms and distances in Å follow each position.
Sites, in units of the cell vectors:
K 0.0000 0.0000 0.0000  12 Hg 3.66, 4 Pb 3.82
Hg 0.1254 0.6249 0.6249  6 Hg 3.11-3.12
Hg 0.6249 0.1254 0.6249  6 Hg 3.11-3.12
Hg 0.6249 0.6249 0.1254  6 Hg 3.11-3.12
Hg 0.6249 0.6249 0.6249  6 Hg 3.11-3.12
Pb 0.2500 0.2500 0.2500  12 Hg 3.66, 4 K 3.82

**DFT total energy**: -1.096 eV per atom
**Symmetry**: F-43m
**Calculated density**: 10.16 g cm⁻³
**Total magnetic moment**: 0.00 μB/f.u.
**Volume**: 28.572 Å³/atom



No. 6
KHg2Pb | PBE-GGA | relaxed

Unit cell a=5.5182 b=5.5182 c=5.5182 alpha=60.00 beta=60.00 gamma=60.00
Closest atoms and distances in Å follow each position.
Sites, in units of the cell vectors:
K 0.0000 0.0000 0.0000  4 Hg 3.38, 4 Pb 3.38
Hg 0.5000 0.5000 0.5000  4 Pb 3.38, 4 Hg 3.38
Hg 0.7500 0.7500 0.7500  4 Hg 3.38, 4 K 3.38
Pb 0.2500 0.2500 0.2500  4 Hg 3.38, 4 K 3.38

**DFT total energy**: -1.372 eV per atom
**Symmetry**: F-43m
**Calculated density**: 9.05 g cm⁻³
**Total magnetic moment**: 0.00 μB/f.u.
**Volume**: 29.704 Å³/atom



No. 7
KHg2Pb | PBE-GGA | relaxed

Unit cell a=3.5772 b=5.3215 c=6.6018 alpha=90.00 beta=101.03 gamma=90.00
Closest atoms and distances in Å follow each position.
Sites, in units of the cell vectors:
K 0.0000 0.0000 0.0000  7 Hg 3.47-3.68, 2 K 3.58, 4 Pb 3.77-3.88
Hg 0.3900 0.0000 0.5235  2 Hg 3.18, 2 Pb 3.19, 2 K 3.47
Hg 0.4226 0.5000 0.7901  2 Hg 3.18, 2 Pb 3.34-3.44, 4 K 3.48-3.49
Pb 0.6474 0.5000 0.3213  4 Hg 3.19-3.44

**DFT total energy**: -1.461 eV per atom
**Symmetry**: Pm
**Calculated density**: 8.72 g cm⁻³
**Total magnetic moment**: 0.00 μB/f.u.
**Volume**: 30.838 Å³/atom



No. 8
K5Hg12Pb2 | PBE-GGA | relaxed

Unit cell a=10.4187 b=10.4187 c=8.2006 alpha=98.46 beta=98.46 gamma=45.59
Closest atoms and distances in Å follow each position.
Sites, in units of the cell vectors:
K 0.0000 0.0000 0.0000  8 Hg 3.58-3.62
K 0.2376 0.2376 0.9175  9 Hg 3.50-3.63
K 0.3058 0.3058 0.4546  8 Hg 3.53-3.78
K 0.6942 0.6942 0.5454  8 Hg 3.53-3.78
K 0.7624 0.7624 0.0825  9 Hg 3.50-3.63
Hg 0.0501 0.6438 0.7719  4 Hg 3.11-3.28
Hg 0.1172 0.1172 0.5345  2 Hg 3.17, 2 Pb 3.29
Hg 0.1993 0.5850 0.1531  3 Hg 3.11-3.36, 1 Pb 3.24
Hg 0.3562 0.9499 0.2281  4 Hg 3.11-3.28
Hg 0.4150 0.8007 0.8469  3 Hg 3.11-3.36, 1 Pb 3.24
Hg 0.4517 0.4517 0.8198  5 Hg 3.11-3.36, 2 Pb 3.34
Hg 0.5483 0.5483 0.1802  5 Hg 3.11-3.36, 2 Pb 3.34
Hg 0.5850 0.1993 0.1531  3 Hg 3.11-3.36, 1 Pb 3.24
Hg 0.6438 0.0501 0.7719  4 Hg 3.11-3.28
Hg 0.8007 0.4150 0.8469  3 Hg 3.11-3.36, 1 Pb 3.24
Hg 0.8828 0.8828 0.4655  2 Hg 3.17, 2 Pb 3.29
Hg 0.9499 0.3562 0.2281  4 Hg 3.11-3.28
Pb 0.2997 0.7003 0.5000  1 Pb 3.23, 6 Hg 3.24-3.34
Pb 0.7003 0.2997 0.5000  1 Pb 3.23, 6 Hg 3.24-3.34

**DFT total energy**: -1.047 eV per atom
**Symmetry**: C2/m
**Calculated density**: 7.98 g cm⁻³
**Total magnetic moment**: 0.00 μB/f.u.
**Volume**: 33.038 Å³/atom



No. 9
K2HgPb2 | PBE-GGA | relaxed

Unit cell a=6.7058 b=6.7058 c=12.5642 alpha=113.42 beta=113.42 gamma=47.19
Closest atoms and distances in Å follow each position.
Sites, in units of the cell vectors:
K 0.0709 0.0709 0.3742  6 Pb 3.59-3.77, 2 Hg 3.81
K 0.3194 0.3194 0.8119  3 Hg 3.63-3.70, 5 Pb 3.75-3.84
K 0.6806 0.6806 0.1881  3 Hg 3.63-3.70, 5 Pb 3.75-3.84
K 0.9291 0.9291 0.6258  6 Pb 3.59-3.77, 2 Hg 3.81
Hg 0.3751 0.3751 0.1627  4 Pb 3.05-3.21
Hg 0.6249 0.6249 0.8373  4 Pb 3.05-3.21
Pb 0.1040 0.1040 0.9579  3 Hg 3.15-3.21, 1 Pb 3.16
Pb 0.3753 0.3753 0.4058  1 Pb 2.95, 1 Hg 3.05
Pb 0.6247 0.6247 0.5942  1 Pb 2.95, 1 Hg 3.05
Pb 0.8960 0.8960 0.0421  3 Hg 3.15-3.21, 1 Pb 3.16

**DFT total energy**: -2.132 eV per atom
**Symmetry**: C2/m
**Calculated density**: 6.16 g cm⁻³
**Total magnetic moment**: 0.00 μB/f.u.
**Volume**: 37.344 Å³/atom



No. 10
KHg4Pb | PBE-GGA | relaxed

Unit cell a=3.4102 b=5.4179 c=9.2920 alpha=90.00 beta=90.00 gamma=90.00
Closest atoms and distances in Å follow each position.
Sites, in units of the cell vectors:
K 0.0000 0.0000 0.0000  2 K 3.41, 12 Hg 3.57-3.59
Hg 0.5000 0.0000 0.3377  3 Hg 3.02-3.11
Hg 0.5000 0.0000 0.6623  3 Hg 3.02-3.11
Hg 0.5000 0.5000 0.1738  5 Hg 3.11-3.41, 2 Pb 3.48
Hg 0.5000 0.5000 0.8262  5 Hg 3.11-3.41, 2 Pb 3.48
Pb 0.0000 0.5000 0.5000  2 Pb 3.41, 12 Hg 3.48-3.54

**DFT total energy**: -1.124 eV per atom
**Symmetry**: Pmmm
**Calculated density**: 10.14 g cm⁻³
**Total magnetic moment**: 0.00 μB/f.u.
**Volume**: 28.613 Å³/atom



The highest DFT total energy belongs to which entry?
K5Hg12Pb2



DFT total energy of number 8 (K5Hg12Pb2)?
-1.047 eV per atom



The lowest calculated density belongs to which entry?
K2HgPb2